# 1
A relaxed structure of CaPm3Tc, computed with PBE-GGA.

abc: 5.545 5.545 5.545
angles: 90.00 90.00 90.00
Space group Pm-3m (No. 221)
One atom of each set of equivalent atoms:
Ca 0.000 0.000 0.000
Pm 0.000 0.500 0.500
Tc 0.500 0.500 0.500

As for the total energy: -0.192 Ha/atom. As for the energy relative to the lowest polymorph listed for this composition: 0.060 eV/atom. For the formation energy, the calculation gives 0.10 eV/atom. The value obtained for the total magnetization is 0.0 μB per formula unit.

=====

# 2
A relaxed structure of CaPm3Tc, computed with PBE-GGA.

abc: 9.055 3.909 9.111
angles: 90.00 102.84 90.00
Space group P2_1/m (No. 11)
One atom of each set of equivalent atoms:
Ca 0.016 0.250 0.180
Pm 0.195 0.250 0.577
Pm 0.336 0.250 0.969
Pm 0.396 0.750 0.333
Tc 0.402 0.750 0.743

As for the total energy: -0.194 Ha/atom. As for the energy relative to the lowest polymorph listed for this composition: 0.000 eV/atom. For the formation energy, the calculation gives 0.04 eV/atom. The value obtained for the total magnetization is 0.0 μB per formula unit.

=====

# 3
A relaxed structure of CaPmTc, computed with PBE-GGA.

abc: 15.628 4.110 5.849
angles: 90.00 100.81 90.00
Space group C2/m (No. 12)
One atom of each set of equivalent atoms:
Ca 0.081 0.000 0.296
Pm 0.161 0.500 0.851
Tc 0.247 0.500 0.394

As for the total energy: -0.205 Ha/atom. For the formation energy, the calculation gives 0.13 eV/atom. The value obtained for the total magnetization is 0.0 μB per formula unit.

=====

# 4
A relaxed structure of Ca2PmTe4, computed with PBE-GGA.

abc: 4.304 14.617 15.313
angles: 90.00 90.00 90.00
Space group Cmcm (No. 63)
One atom of each set of equivalent atoms:
Ca 0.000 0.136 0.070
Pm 0.000 0.383 0.250
Te 0.000 0.040 0.250
Te 0.000 0.212 0.623
Te 0.000 0.500 0.000

As for the total energy: -0.161 Ha/atom. The value obtained for the total magnetization is 0.0 μB per formula unit. For the energy relative to the elements, uncorrected, the calculation gives -1.329 eV per atom.

=====

# 5
A relaxed structure of Ca3PmTe4, computed with PBE-GGA.

abc: 9.025 12.728 4.479
angles: 90.00 90.00 90.00
Space group Cmmm (No. 65)
One atom of each set of equivalent atoms:
Ca 0.000 0.000 0.000
Ca 0.250 0.250 0.500
Pm 0.000 0.500 0.000
Te 0.000 0.250 0.000
Te 0.249 0.000 0.500

As for the total energy: -0.165 Ha/atom. The value obtained for the total magnetization is 0.0 μB per formula unit. For the energy relative to the elements, uncorrected, the calculation gives -1.571 eV per atom.

=====

# 6
A relaxed structure of CaPm2Te4, computed with PBE-GGA.

abc: 4.419 14.601 15.393
angles: 90.00 90.00 90.00
Space group Cmcm (No. 63)
One atom of each set of equivalent atoms:
Ca 0.000 0.116 0.250
Pm 0.000 0.365 0.071
Te 0.000 0.000 0.000
Te 0.000 0.277 0.621
Te 0.000 0.463 0.250

As for the total energy: -0.180 Ha/atom. As for the energy relative to the lowest polymorph listed for this composition: 0.028 eV/atom. The value obtained for the total magnetization is 0.0 μB per formula unit. For the energy relative to the elements, uncorrected, the calculation gives -1.450 eV per atom.